No. 1
Crystalline AlAg2Se at its relaxed geometry. Source: Alexandria, functional PBE.

Output
raw formation energy = 48 meV/atom
excess energy over the best structure of this formula in the dataset = 10.7 kJ per mole of atoms
energy = -3.185 eV/atom

Unit cell a=4.522 b=3.663 c=4.884 alpha=90.00 beta=108.80 gamma=90.00
Atoms (fractional coordinates):
Al 0.000 0.000 0.000
Ag 0.000 0.500 0.500
Ag 0.500 0.000 0.500
Se 0.500 0.500 0.000

=====

No. 2
Crystalline Ge2PbI6 at its relaxed geometry. Source: Alexandria, functional PBE.

Output
raw formation energy = -426 meV/atom
excess energy over the best structure of this formula in the dataset = 0.0 kJ per mole of atoms
energy = -2.898 eV/atom

Unit cell a=10.135 b=10.135 c=9.314 alpha=105.96 beta=105.96 gamma=25.02
Atoms (fractional coordinates):
Ge 0.170 0.170 0.339
Ge 0.830 0.830 0.661
Pb 0.500 0.500 0.000
I 0.008 0.008 0.261
I 0.328 0.328 0.433
I 0.328 0.328 0.887
I 0.672 0.672 0.113
I 0.672 0.672 0.567
I 0.992 0.992 0.739

=====

No. 3
Crystalline K3RuRh3Se8 at its relaxed geometry. Source: Alexandria, functional PBE.

Output
raw formation energy = -604 meV/atom
energy = -4.771 eV/atom

Unit cell a=8.550 b=8.550 c=8.550 alpha=53.19 beta=53.19 gamma=53.19
Atoms (fractional coordinates):
K 0.000 0.500 0.500
K 0.500 0.000 0.500
K 0.500 0.500 0.000
Ru 0.500 0.500 0.500
Rh 0.000 0.000 0.500
Rh 0.000 0.500 0.000
Rh 0.500 0.000 0.000
Se 0.222 0.724 0.724
Se 0.223 0.223 0.223
Se 0.276 0.276 0.778
Se 0.276 0.778 0.276
Se 0.724 0.222 0.724
Se 0.724 0.724 0.222
Se 0.777 0.777 0.777
Se 0.778 0.276 0.276

=====

No. 4
Crystalline MnAg2Sb at its relaxed geometry. Source: Alexandria, functional PBE.

Output
raw formation energy = 178 meV/atom
energy = -4.571 eV/atom

Unit cell a=3.053 b=4.065 c=6.440 alpha=90.00 beta=102.49 gamma=90.00
Atoms (fractional coordinates):
Mn 0.000 0.000 0.000
Ag 0.383 0.500 0.753
Ag 0.785 0.000 0.544
Sb 0.599 0.500 0.212

=====

No. 5
Crystalline LiCa6 at its relaxed geometry. Source: Alexandria, functional PBE.

Output
energy = -0.987 eV/atom

Unit cell a=8.727 b=8.727 c=8.727 alpha=109.47 beta=109.47 gamma=109.47
Atoms (fractional coordinates):
Li 0.000 0.000 0.000
Ca 0.250 0.500 0.750
Ca 0.250 0.750 0.500
Ca 0.500 0.250 0.750
Ca 0.500 0.750 0.250
Ca 0.750 0.250 0.500
Ca 0.750 0.500 0.250

=====

No. 6
Crystalline Ti4ReAu at its relaxed geometry. Source: Alexandria, functional PBE.

Output
excess energy over the best structure of this formula in the dataset = 0.0 kJ per mole of atoms
energy = -8.173 eV/atom

Unit cell a=3.168 b=3.168 c=9.747 alpha=90.00 beta=90.00 gamma=90.00
Atoms (fractional coordinates):
Ti 0.000 0.000 0.153
Ti 0.000 0.000 0.847
Ti 0.500 0.500 0.325
Ti 0.500 0.500 0.675
Re 0.500 0.500 0.000
Au 0.000 0.000 0.500

=====

No. 7
Crystalline LaPuGaRu at its relaxed geometry. Source: Alexandria, functional PBE.

Output
energy = -8.066 eV/atom

Unit cell a=5.050 b=5.050 c=5.050 alpha=60.00 beta=60.00 gamma=60.00
Atoms (fractional coordinates):
La 0.000 0.000 0.000
Pu 0.500 0.500 0.500
Ga 0.250 0.250 0.250
Ru 0.750 0.750 0.750

=====

No. 8
Crystalline Pm2NiPd2 at its relaxed geometry. Source: Alexandria, functional PBE.

Output
energy = -5.777 eV/atom

Unit cell a=5.524 b=5.524 c=11.226 alpha=110.01 beta=110.01 gamma=41.62
Atoms (fractional coordinates):
Pm 0.002 0.002 0.160
Pm 0.186 0.186 0.618
Pm 0.814 0.814 0.382
Pm 0.998 0.998 0.840
Ni 0.303 0.303 0.187
Ni 0.697 0.697 0.813
Pd 0.332 0.332 0.953
Pd 0.463 0.463 0.611
Pd 0.537 0.537 0.389
Pd 0.668 0.668 0.047

=====

In the order shown, the computed volume values come out to 19.15; 43.14; 24.77; 19.51; 73.08; 16.31; 22.76; 21.17 A^3/atom.